The following is a PBE-GGA calculation of crystalline SiC2 at its relaxed geometry, from Alexandria via LeMat-Bulk.

The structure in POSCAR format:
```
SiC2
1.0
2.4720 0.0000 0.0000
-1.2360 2.1408 0.0000
0.0000 0.0000 8.8373
Si C
1 2
direct
0.0000 0.0000 0.0000
0.3333 0.6667 0.5000
0.6667 0.3333 0.5000
```

Results
Space group: P6/mmm
ΔE_f (raw): 332 meV per atom
ρ: 1.85 g cm⁻³
Excess energy over the best structure of this formula in the dataset: 0 meV/atom